DFT (PBE-GGA) results for an optimized crystal structure of Sb2C.

As for the space-group type: C2/m, No. 12. For the polymorph energy (0 for the lowest one), the calculation gives 0 meV/atom. Its density of states at the Fermi level is 0.499 states/eV/atom.

Geometry as POSCAR:
```
Sb2C
1.0
7.8505 -1.6915 0.0000
7.8505 1.6915 0.0000
-2.4221 0.0000 5.7617
Sb C
4 2
direct
0.0985 0.0985 0.0965
0.1396 0.1396 0.6373
0.8604 0.8604 0.3627
0.9015 0.9015 0.9035
0.4537 0.4537 0.4544
0.5463 0.5463 0.5456
```

---

DFT (PBE-GGA) results for an optimized crystal structure of SbC.

As for the space-group type: C2/m, No. 12. For the polymorph energy (0 for the lowest one), the calculation gives 6 meV/atom. Its density of states at the Fermi level is 0.210 states/eV/atom.

Geometry as POSCAR:
```
SbC
1.0
6.1343 -2.1005 0.0000
6.1343 2.1005 0.0000
-0.0580 0.0000 3.2984
Sb C
2 2
direct
0.1351 0.1351 0.0046
0.8649 0.8649 0.9954
0.3422 0.6578 0.0000
0.6578 0.3422 0.0000
```

---

DFT (PBE-GGA) results for an optimized crystal structure of Sb5C4.

As for the space-group type: P6_3/mcm, No. 193. For the polymorph energy (0 for the lowest one), the calculation gives 736 meV/atom. Its density of states at the Fermi level is 0.358 states/eV/atom.

Geometry as POSCAR:
```
Sb5C4
1.0
7.1442 0.0000 0.0000
-3.5721 6.1870 0.0000
0.0000 0.0000 6.8531
Sb C
10 8
direct
0.0000 0.2522 0.2500
0.0000 0.7478 0.7500
0.2522 0.0000 0.2500
0.2522 0.2522 0.7500
0.3333 0.6667 0.0000
0.3333 0.6667 0.5000
0.6667 0.3333 0.0000
0.6667 0.3333 0.5000
0.7478 0.0000 0.7500
0.7478 0.7478 0.2500
0.0000 0.0000 0.0000
0.0000 0.0000 0.5000
0.0000 0.4099 0.7500
0.0000 0.5901 0.2500
0.4099 0.0000 0.7500
0.4099 0.4099 0.2500
0.5901 0.0000 0.2500
0.5901 0.5901 0.7500
```

---

DFT (PBE-GGA) results for an optimized crystal structure of ScSb3C.

As for the space-group type: Pm-3m, No. 221. For the polymorph energy (0 for the lowest one), the calculation gives 924 meV/atom. Its density of states at the Fermi level is 1.247 states/eV/atom.

Geometry as POSCAR:
```
ScSb3C
1.0
5.4321 0.0000 0.0000
0.0000 5.4321 0.0000
0.0000 0.0000 5.4321
Sc Sb C
1 3 1
direct
0.0000 0.0000 0.0000
0.0000 0.0000 0.5000
0.0000 0.5000 0.0000
0.5000 0.0000 0.0000
0.5000 0.5000 0.5000
```

---

DFT (PBE-GGA) results for an optimized crystal structure of Sc8Sb2C3.

As for the space-group type: C2/m, No. 12. The final energy comes out at -93.93 eV per formula unit. Its density of states at the Fermi level is 0.803 states/eV/atom.

Geometry as POSCAR:
```
Sc8Sb2C3
1.0
7.1077 -3.3990 0.0000
7.1077 3.3990 0.0000
-1.6684 0.0000 5.6880
Sc Sb C
8 2 3
direct
0.0871 0.0871 0.3950
0.1501 0.6733 0.1146
0.3267 0.8499 0.8854
0.4124 0.4124 0.5961
0.5876 0.5876 0.4039
0.6733 0.1501 0.1146
0.8499 0.3267 0.8854
0.9129 0.9129 0.6050
0.2552 0.2552 0.8205
0.7448 0.7448 0.1795
0.0000 0.0000 0.0000
0.2531 0.7469 0.5000
0.7469 0.2531 0.5000
```

---

DFT (PBE-GGA) results for an optimized crystal structure of Sc6Sb3C2.

As for the space-group type: I4/mmm, No. 139. The final energy comes out at -77.17 eV per formula unit. Its density of states at the Fermi level is 0.381 states/eV/atom.

Geometry as POSCAR:
```
Sc6Sb3C2
1.0
-2.2196 2.2196 11.7836
2.2196 -2.2196 11.7836
2.2196 2.2196 -11.7836
Sc Sb C
6 3 2
direct
0.0859 0.5859 0.5000
0.1898 0.1898 0.0000
0.4141 0.9141 0.5000
0.5859 0.0859 0.5000
0.8102 0.8102 0.0000
0.9141 0.4141 0.5000
0.3180 0.3180 0.0000
0.5000 0.5000 0.0000
0.6820 0.6820 0.0000
0.1001 0.1001 0.0000
0.8999 0.8999 0.0000
```

---

DFT (PBE-GGA) results for an optimized crystal structure of ScSb2C.

As for the space-group type: I-42d, No. 122. The final energy comes out at -21.92 eV per formula unit. Its density of states at the Fermi level is 0.869 states/eV/atom.

Geometry as POSCAR:
```
ScSb2C
1.0
-3.3132 3.3132 4.0279
3.3132 -3.3132 4.0279
3.3132 3.3132 -4.0279
Sc Sb C
2 4 2
direct
0.0000 0.0000 0.0000
0.7500 0.2500 0.5000
0.2102 0.6250 0.0852
0.3750 0.4602 0.5852
0.5398 0.1250 0.9148
0.8750 0.7898 0.4148
0.2500 0.7500 0.5000
0.5000 0.5000 0.0000
```

---

DFT (PBE-GGA) results for an optimized crystal structure of Sc7Sb3C2.

As for the space-group type: Cmmm, No. 65. The final energy comes out at -84.47 eV per formula unit. Its density of states at the Fermi level is 0.721 states/eV/atom.

Geometry as POSCAR:
```
Sc7Sb3C2
1.0
2.2550 -11.7076 0.0000
2.2550 11.7076 0.0000
0.0000 0.0000 4.4578
Sc Sb C
7 3 2
direct
0.0000 0.0000 0.0000
0.0971 0.9029 0.5000
0.1950 0.8050 0.0000
0.4045 0.5955 0.0000
0.5955 0.4045 0.0000
0.8050 0.1950 0.0000
0.9029 0.0971 0.5000
0.3117 0.6883 0.5000
0.5000 0.5000 0.5000
0.6883 0.3117 0.5000
0.0981 0.9019 0.0000
0.9019 0.0981 0.0000
```

---

no.,V (Å³ per atom)
1,25.50
2,21.25
3,16.83
4,32.06
5,21.14
6,21.11
7,22.11
8,19.61